# Nd3FePb

Crystalline Nd3FePb at its relaxed geometry (PBE, Alexandria via LeMat-Bulk).

Geometry as CIF:
```
data_Nd3FePb
_cell_length_a 5.244
_cell_length_b 5.244
_cell_length_c 5.244
_cell_angle_alpha 90.00
_cell_angle_beta 90.00
_cell_angle_gamma 90.00
_space_group_name_H-M_alt 'P m -3 m'
_space_group_IT_number 221
_space_group_name_Hall '-P 4 2 3'
loop_
_atom_site_label
_atom_site_type_symbol
_atom_site_fract_x
_atom_site_fract_y
_atom_site_fract_z
_atom_site_occupancy
Nd1 Nd 0.000 0.000 0.500 1
Fe1 Fe 0.000 0.000 0.000 1
Pb1 Pb 0.500 0.500 0.500 1
```

Properties
Calculated formation energy ... -0.12 eV per atom

=====

# AsP2Br

Crystalline AsP2Br at its relaxed geometry (PBE, Alexandria via LeMat-Bulk).

Geometry as CIF:
```
data_AsP2Br
_cell_length_a 6.639
_cell_length_b 6.639
_cell_length_c 6.639
_cell_angle_alpha 90.00
_cell_angle_beta 90.00
_cell_angle_gamma 90.00
_space_group_name_H-M_alt 'F m -3 m'
_space_group_IT_number 225
_space_group_name_Hall '-F 4 2 3'
loop_
_atom_site_label
_atom_site_type_symbol
_atom_site_fract_x
_atom_site_fract_y
_atom_site_fract_z
_atom_site_occupancy
As1 As 0.000 0.000 0.000 1
P1 P 0.250 0.250 0.250 1
Br1 Br 0.000 0.000 0.500 1
```

Properties
Formation energy from raw total energies ... 849 meV per atom
Offset from the most stable computed form ... 752 meV per atom